DFT (PBE) results for an optimized crystal structure of Ca2In2Pt.

Lattice parameters (Å, degrees): 7.2495 7.2495 4.9385 90.00 90.00 90.00
Last column: nearest neighbours and their distance in Å.
Sites, in units of the cell vectors:
Ca1 0.1740 0.3260 0.0000  6 In 3.12-3.37
Ca2 0.3260 0.8260 0.0000  6 In 3.12-3.37
Ca3 0.6740 0.1740 0.0000  6 In 3.12-3.37
Ca4 0.8260 0.6740 0.0000  6 In 3.12-3.37
In1 0.1404 0.6404 0.5000  2 Pt 2.80, 1 In 2.88, 2 Ca 3.12
In2 0.3596 0.1404 0.5000  2 Pt 2.80, 1 In 2.88, 2 Ca 3.12
In3 0.6404 0.8596 0.5000  2 Pt 2.80, 1 In 2.88, 2 Ca 3.12
In4 0.8596 0.3596 0.5000  2 Pt 2.80, 1 In 2.88, 2 Ca 3.12
Pt1 0.0000 0.0000 0.5000  4 In 2.80
Pt2 0.5000 0.5000 0.5000  4 In 2.80

Computed properties:
The calculation puts the density of states at the Fermi level at 8.7 states/eV/cell. The calculation puts the formation energy at -0.48 eV/atom. The symmetry is P4/mbm. The value obtained for the total energy is -35.86 eV/cell.

***

DFT (PBE) results for an optimized crystal structure of TbNi12Ge6.

Lattice parameters (Å, degrees): 6.6912 6.6912 6.6912 105.26 105.26 105.26
Last column: nearest neighbours and their distance in Å.
Sites, in units of the cell vectors:
Tb1 0.0000 0.0000 0.0000  6 Ni 3.04
Ni1 0.1182 0.5000 0.8818  4 Ge 2.30-2.33, 1 Ni 2.51
Ni2 0.1182 0.8818 0.5000  4 Ge 2.30-2.33, 1 Ni 2.51
Ni3 0.1573 0.4115 0.4115  3 Ge 2.42-2.46, 4 Ni 2.62-2.70
Ni4 0.4115 0.1573 0.4115  3 Ge 2.42-2.46, 4 Ni 2.62-2.70
Ni5 0.4115 0.4115 0.1573  3 Ge 2.42-2.46, 4 Ni 2.62-2.70
Ni6 0.5000 0.1182 0.8818  4 Ge 2.30-2.33, 1 Ni 2.51
Ni7 0.5000 0.8818 0.1182  4 Ge 2.30-2.33, 1 Ni 2.51
Ni8 0.5885 0.5885 0.8427  3 Ge 2.42-2.46, 4 Ni 2.62-2.70
Ni9 0.5885 0.8427 0.5885  3 Ge 2.42-2.46, 4 Ni 2.62-2.70
Ni10 0.8427 0.5885 0.5885  3 Ge 2.42-2.46, 4 Ni 2.62-2.70
Ni11 0.8818 0.1182 0.5000  4 Ge 2.30-2.33, 1 Ni 2.51
Ni12 0.8818 0.5000 0.1182  4 Ge 2.30-2.33, 1 Ni 2.51
Ge1 0.2601 0.2601 0.7048  7 Ni 2.30-2.46
Ge2 0.2601 0.7048 0.2601  7 Ni 2.30-2.46
Ge3 0.2952 0.7399 0.7399  7 Ni 2.30-2.46
Ge4 0.7048 0.2601 0.2601  7 Ni 2.30-2.46
Ge5 0.7399 0.2952 0.7399  7 Ni 2.30-2.46
Ge6 0.7399 0.7399 0.2952  7 Ni 2.30-2.46

Computed properties:
The calculation puts the density of states at the Fermi level at 13.7 states/eV/cell. The calculation puts the formation energy at -0.26 eV/atom. The symmetry is R-3m. The value obtained for the total energy is -106.71 eV/cell.

***

DFT (PBE) results for an optimized crystal structure of CaZn2Se.

Lattice parameters (Å, degrees): 3.6294 3.6294 6.6173 90.00 90.00 90.12
Last column: nearest neighbours and their distance in Å.
Sites, in units of the cell vectors:
Ca1 0.0000 0.0000 0.0000  8 Zn 3.22-3.23, 2 Se 3.31
Zn1 0.5000 0.5000 0.2956  1 Zn 2.71, 4 Se 2.90
Zn2 0.5000 0.5000 0.7044  1 Zn 2.71, 4 Se 2.90
Se1 0.0000 0.0000 0.5000  8 Zn 2.90

Computed properties:
The calculation puts the density of states at the Fermi level at 0.9 states/eV/cell. The uncorrected formation energy comes out at -313 meV per atom. The symmetry is Cmmm. The value obtained for the total energy is -9.29 eV/cell.

***

DFT (PBE) results for an optimized crystal structure of YAlSe3.

Lattice parameters (Å, degrees): 8.9095 3.9102 10.2018 90.00 114.62 90.00
Last column: nearest neighbours and their distance in Å.
Sites, in units of the cell vectors:
Y1 0.0000 0.0000 0.0000  6 Se 2.83-3.08
Y2 0.1302 0.0000 0.6858  7 Se 2.89-3.15
Al1 0.1915 0.5000 0.4100  4 Se 2.37-2.45
Al2 0.6763 0.5000 0.7632  4 Se 2.38-2.44
Se1 0.1721 0.5000 0.9111  4 Y 2.86-2.92
Se2 0.2488 0.0000 0.2946  2 Al 2.44
Se3 0.3773 0.5000 0.6673  2 Al 2.43-2.45
Se4 0.7715 0.0000 0.6758  2 Al 2.44
Se5 0.7812 0.5000 0.0195  1 Al 2.38
Se6 0.9576 0.5000 0.4651  1 Al 2.37

Computed properties:
The calculation puts the density of states at the Fermi level at 0.0 states/eV/cell. The uncorrected formation energy comes out at -1355 meV per atom. The symmetry is Pm. The value obtained for the total energy is -54.87 eV/cell.

***

DFT (PBE) results for an optimized crystal structure of Nd2GePbO6.

Lattice parameters (Å, degrees): 5.4917 5.4917 5.4257 90.00 90.00 90.00
Last column: nearest neighbours and their distance in Å.
Sites, in units of the cell vectors:
Nd1 0.0000 0.5000 0.0000  4 O 2.36
Nd2 0.5000 0.0000 0.0000  4 O 2.36
Ge1 0.0000 0.0000 0.6257  5 O 1.80-1.89
Pb1 0.5000 0.5000 0.5453  5 O 2.39-2.42
O1 0.0000 0.0000 0.2948  1 Ge 1.80
O2 0.2254 0.2254 0.7560  1 Ge 1.89
O3 0.2254 0.7746 0.7560  1 Ge 1.89
O4 0.5000 0.5000 0.1051  1 Pb 2.39
O5 0.7746 0.2254 0.7560  1 Ge 1.89
O6 0.7746 0.7746 0.7560  1 Ge 1.89

Computed properties:
The calculation puts the density of states at the Fermi level at 0.0 states/eV/cell. The uncorrected formation energy comes out at -2212 meV per atom. The symmetry is P4mm. The value obtained for the total energy is -69.73 eV/cell.

***

DFT (PBE) results for an optimized crystal structure of LuZrCuMo.

Lattice parameters (Å, degrees): 4.7451 4.7451 4.7451 60.00 60.00 60.00
Last column: nearest neighbours and their distance in Å.
Sites, in units of the cell vectors:
Lu1 0.0000 0.0000 0.0000  4 Mo 2.91, 4 Cu 2.91
Zr1 0.5000 0.5000 0.5000  4 Mo 2.91, 4 Cu 2.91
Cu1 0.7500 0.7500 0.7500  4 Zr 2.91, 4 Lu 2.91
Mo1 0.2500 0.2500 0.2500  4 Zr 2.91, 4 Lu 2.91

Computed properties:
The calculation puts the density of states at the Fermi level at 3.0 states/eV/cell. The calculation puts the formation energy at 0.02 eV/atom. The symmetry is F-43m. The value obtained for the total energy is -27.93 eV/cell.

***

DFT (PBE) results for an optimized crystal structure of Zr2Sc.

Lattice parameters (Å, degrees): 8.6844 8.6844 3.2169 90.00 90.00 120.00
Last column: nearest neighbours and their distance in Å.
Sites, in units of the cell vectors:
Zr1 0.0000 0.3097 0.0000  4 Sc 3.00-3.13, 8 Zr 3.22-3.33
Zr2 0.0000 0.6439 0.5000  5 Sc 3.09-3.23, 8 Zr 3.22-3.33
Zr3 0.3097 0.0000 0.0000  4 Sc 3.00-3.13, 8 Zr 3.22-3.33
Zr4 0.3561 0.3561 0.5000  5 Sc 3.09-3.23, 8 Zr 3.22-3.33
Zr5 0.6439 0.0000 0.5000  5 Sc 3.09-3.23, 8 Zr 3.22-3.33
Zr6 0.6903 0.6903 0.0000  4 Sc 3.00-3.13, 8 Zr 3.22-3.33
Sc1 0.0000 0.0000 0.5000  9 Zr 3.09-3.13, 2 Sc 3.22
Sc2 0.3333 0.6667 0.0000  9 Zr 3.00-3.23, 2 Sc 3.22
Sc3 0.6667 0.3333 0.0000  9 Zr 3.00-3.23, 2 Sc 3.22

Computed properties:
The calculation puts the density of states at the Fermi level at 11.8 states/eV/cell. The calculation puts the formation energy at 0.00 eV/atom. The symmetry is P-62m. The value obtained for the total energy is -70.24 eV/cell.

***

DFT (PBE) results for an optimized crystal structure of Rb4YU3Se8.

Lattice parameters (Å, degrees): 9.4311 9.4311 9.4311 53.56 53.56 53.56
Last column: nearest neighbours and their distance in Å.
Sites, in units of the cell vectors:
Rb1 0.0000 0.0000 0.0000  6 Se 3.46
Rb2 0.0000 0.5000 0.5000  6 Se 3.45
Rb3 0.5000 0.0000 0.5000  6 Se 3.45
Rb4 0.5000 0.5000 0.0000  6 Se 3.45
Y1 0.5000 0.5000 0.5000  6 Se 2.92
U1 0.0000 0.0000 0.5000  6 Se 2.93
U2 0.0000 0.5000 0.0000  6 Se 2.93
U3 0.5000 0.0000 0.0000  6 Se 2.93
Se1 0.2328 0.2328 0.2328  3 U 2.93
Se2 0.2344 0.7318 0.7318  1 Y 2.92, 2 U 2.93
Se3 0.2682 0.2682 0.7656  1 Y 2.92, 2 U 2.93
Se4 0.2682 0.7656 0.2682  1 Y 2.92, 2 U 2.93
Se5 0.7318 0.2344 0.7318  1 Y 2.92, 2 U 2.93
Se6 0.7318 0.7318 0.2344  1 Y 2.92, 2 U 2.93
Se7 0.7656 0.2682 0.2682  1 Y 2.92, 2 U 2.93
Se8 0.7672 0.7672 0.7672  3 U 2.93

Computed properties:
The calculation puts the density of states at the Fermi level at 17.8 states/eV/cell. The uncorrected formation energy comes out at -1333 meV per atom. The symmetry is R-3m. The value obtained for the total energy is -93.40 eV/cell.

***

DFT (PBE) results for an optimized crystal structure of Tl2TcIrO6.

Lattice parameters (Å, degrees): 6.7952 6.7952 6.7952 133.73 133.73 67.51
Last column: nearest neighbours and their distance in Å.
Sites, in units of the cell vectors:
Tl1 0.2500 0.7500 0.5000  4 O 2.81
Tl2 0.7500 0.2500 0.5000  4 O 2.81
Tc1 0.0000 0.0000 0.0000  4 O 1.84
Ir1 0.5000 0.5000 0.0000  6 O 1.94-1.96
O1 0.2435 0.2435 0.4869  1 Tc 1.84, 1 Ir 1.94
O2 0.2435 0.7565 0.0000  1 Tc 1.84, 1 Ir 1.94
O3 0.3269 0.3269 0.0000  1 Ir 1.96
O4 0.6731 0.6731 0.0000  1 Ir 1.96
O5 0.7565 0.2435 0.0000  1 Tc 1.84, 1 Ir 1.94
O6 0.7565 0.7565 0.5131  1 Tc 1.84, 1 Ir 1.94

Computed properties:
The calculation puts the density of states at the Fermi level at 4.5 states/eV/cell. The uncorrected formation energy comes out at -767 meV per atom. The symmetry is I4/mmm. The value obtained for the total energy is -61.38 eV/cell.

***

DFT (PBE) results for an optimized crystal structure of La5Sm12Ho2.

Lattice parameters (Å, degrees): 13.0764 13.0764 13.0764 156.11 132.45 53.90
Last column: nearest neighbours and their distance in Å.
Sites, in units of the cell vectors:
La1 0.0000 0.0000 0.0000  8 Sm 3.52-3.62, 4 Ho 3.53
La2 0.1976 0.1976 0.0000  8 Sm 3.49-3.85, 2 La 3.62
La3 0.3005 0.8005 0.5000  10 Sm 3.57-3.87, 2 La 3.62
La4 0.6995 0.1995 0.5000  10 Sm 3.57-3.87, 2 La 3.62
La5 0.8024 0.8024 0.0000  8 Sm 3.49-3.85, 2 La 3.62
Sm1 0.0666 0.3065 0.7601  6 Sm 3.46-3.78, 6 La 3.58-3.85
Sm2 0.1032 0.6032 0.5000  2 Ho 3.31, 2 Sm 3.46, 4 La 3.49-3.62
Sm3 0.1898 0.9148 0.2750  2 Ho 3.42, 2 La 3.52-3.57, 4 Sm 3.60-3.70
Sm4 0.3603 0.0852 0.2750  2 Ho 3.42, 2 La 3.52-3.57, 4 Sm 3.60-3.70
Sm5 0.4190 0.4190 0.0000  2 Ho 3.55, 7 Sm 3.60-3.78, 2 La 3.87
Sm6 0.4537 0.6935 0.7601  6 Sm 3.46-3.78, 6 La 3.58-3.85
Sm7 0.5463 0.3065 0.2399  6 Sm 3.46-3.78, 6 La 3.58-3.85
Sm8 0.5810 0.5810 0.0000  2 Ho 3.55, 7 Sm 3.60-3.78, 2 La 3.87
Sm9 0.6397 0.9148 0.7250  2 Ho 3.42, 2 La 3.52-3.57, 4 Sm 3.60-3.70
Sm10 0.8102 0.0852 0.7250  2 Ho 3.42, 2 La 3.52-3.57, 4 Sm 3.60-3.70
Sm11 0.8968 0.3968 0.5000  2 Ho 3.31, 2 Sm 3.46, 4 La 3.49-3.62
Sm12 0.9334 0.6935 0.2399  6 Sm 3.46-3.78, 6 La 3.58-3.85
Ho1 0.2154 0.5000 0.7154  8 Sm 3.31-3.55, 2 La 3.53
Ho2 0.7846 0.5000 0.2846  8 Sm 3.31-3.55, 2 La 3.53

Computed properties:
The calculation puts the density of states at the Fermi level at 31.8 states/eV/cell. The calculation puts the formation energy at 0.12 eV/atom. The symmetry is Immm. The value obtained for the total energy is -88.06 eV/cell.

***

Among the records above, which one has the highest total energy?
CaZn2Se